1.
Crystalline CuAgRh at its relaxed geometry. Source: Alexandria, functional PBE.

The space group is Imm2 (No. 44) and the conventional cell measures 2.738, 3.748 and 8.703 Å, with angles of 90.00, 90.00 and 90.00 degrees. The inequivalent atoms are Cu at (0.000, 0.000, 0.000), Ag at (0.000, 0.000, 0.328) and Rh at (0.000, 0.000, 0.647).

The formation enthalpy at 0 K comes out at 0.232 eV/atom. Its energy above the most stable polymorph in this dataset is 0.159 eV per atom. Its total magnetic moment is 0.4 μB/f.u. The crystal system is orthorhombic.



2.
Crystalline TlIn2Co at its relaxed geometry. Source: Alexandria, functional PBE.

The space group is R3m (No. 160, hexagonal axes) and the conventional cell measures 3.3746, 3.3746 and 27.0586 Å, with angles of 90.00, 90.00 and 120.00 degrees. The inequivalent atoms are Tl at (0.0000, 0.0000, 0.0000), In at (0.0000, 0.0000, 0.5298), In at (0.0000, 0.0000, 0.7666) and Co at (0.0000, 0.0000, 0.2627).

The formation enthalpy at 0 K comes out at 0.302 eV/atom. Its energy above the most stable polymorph in this dataset is 0.150 eV per atom. Its total magnetic moment is 1.0 μB/f.u. The crystal system is trigonal.



Number 1 is which compound?
CuAgRh



The highest total magnetic moment belongs to which entry?
TlIn2Co